# GGA-PBE Nd2ZrCuSe5, optimized geometry
# D(E_F) = 1.23 states/eV/f.u.
# Magnetization = 0.00 μB/f.u.
# Uncorrected formation energy = -1.44 eV/atom
# Total DFT energy (no corrections) = -5.845 eV/atom
data_Nd2ZrCuSe5
_symmetry_space_group_name_H-M 'C m c 21'
_symmetry_Int_Tables_number 36
_symmetry_space_group_name_Hall 'C 2c -2'
_cell_length_a 3.981
_cell_length_b 17.539
_cell_length_c 12.100
_cell_angle_alpha 90.00
_cell_angle_beta 90.00
_cell_angle_gamma 90.00
loop_
_atom_site_label
_atom_site_type_symbol
_atom_site_fract_x
_atom_site_fract_y
_atom_site_fract_z
_atom_site_occupancy
Nd1 Nd 0.000 0.115 0.000 1
Nd2 Nd 0.000 0.125 0.625 1
Zr1 Zr 0.000 0.186 0.322 1
Cu1 Cu 0.000 0.433 0.747 1
Se1 Se 0.000 0.041 0.354 1
Se2 Se 0.000 0.292 0.979 1
Se3 Se 0.000 0.306 0.662 1
Se4 Se 0.000 0.349 0.315 1
Se5 Se 0.000 0.497 0.077 1

***

# GGA-PBE Nd4Cu3Si, optimized geometry
# D(E_F) = 8.66 states/eV/f.u.
# Magnetization = 0.00 μB/f.u.
# Uncorrected formation energy = -0.30 eV/atom
# Total DFT energy (no corrections) = -4.893 eV/atom
data_Nd4Cu3Si
_symmetry_space_group_name_H-M 'P m m 2'
_symmetry_Int_Tables_number 25
_symmetry_space_group_name_Hall 'P 2 -2'
_cell_length_a 4.167
_cell_length_b 4.274
_cell_length_c 10.767
_cell_angle_alpha 90.00
_cell_angle_beta 90.00
_cell_angle_gamma 90.00
loop_
_atom_site_label
_atom_site_type_symbol
_atom_site_fract_x
_atom_site_fract_y
_atom_site_fract_z
_atom_site_occupancy
Nd1 Nd 0.000 0.000 0.000 1
Nd2 Nd 0.000 0.500 0.288 1
Nd3 Nd 0.500 0.000 0.501 1
Nd4 Nd 0.500 0.500 0.791 1
Cu1 Cu 0.000 0.500 0.585 1
Cu2 Cu 0.500 0.000 0.210 1
Cu3 Cu 0.500 0.500 0.081 1
Si1 Si 0.000 0.000 0.714 1

***

# GGA-PBE NdCu3Si2, optimized geometry
# D(E_F) = 2.26 states/eV/f.u.
# Magnetization = 0.00 μB/f.u.
# Uncorrected formation energy = -0.32 eV/atom
# Total DFT energy (no corrections) = -4.974 eV/atom
# Distance to the lowest polymorph of the same formula = 117.3 meV per atom
data_NdCu3Si2
_symmetry_space_group_name_H-M 'C 1 2/m 1'
_symmetry_Int_Tables_number 12
_symmetry_space_group_name_Hall '-C 2y'
_cell_length_a 15.646
_cell_length_b 4.007
_cell_length_c 6.564
_cell_angle_alpha 90.00
_cell_angle_beta 92.74
_cell_angle_gamma 90.00
loop_
_atom_site_label
_atom_site_type_symbol
_atom_site_fract_x
_atom_site_fract_y
_atom_site_fract_z
_atom_site_occupancy
Nd1 Nd 0.102 0.000 0.234 1
Cu1 Cu 0.100 0.000 0.744 1
Cu2 Cu 0.172 0.500 0.571 1
Cu3 Cu 0.202 0.500 0.936 1
Si1 Si 0.047 0.500 0.860 1
Si2 Si 0.248 0.000 0.719 1

***

# GGA-PBE NdCu4Si3, optimized geometry
# D(E_F) = 3.73 states/eV/f.u.
# Magnetization = 0.00 μB/f.u.
# Uncorrected formation energy = -0.36 eV/atom
# Total DFT energy (no corrections) = -5.035 eV/atom
data_NdCu4Si3
_symmetry_space_group_name_H-M 'P 4/m m m'
_symmetry_Int_Tables_number 123
_symmetry_space_group_name_Hall '-P 4 2'
_cell_length_a 4.078
_cell_length_b 4.078
_cell_length_c 7.545
_cell_angle_alpha 90.00
_cell_angle_beta 90.00
_cell_angle_gamma 90.00
loop_
_atom_site_label
_atom_site_type_symbol
_atom_site_fract_x
_atom_site_fract_y
_atom_site_fract_z
_atom_site_occupancy
Nd1 Nd 0.000 0.000 0.000 1
Cu1 Cu 0.000 0.500 0.327 1
Si1 Si 0.000 0.000 0.500 1
Si2 Si 0.500 0.500 0.157 1

***

# GGA-PBE Nd3Cu3Si, optimized geometry
# D(E_F) = 5.56 states/eV/f.u.
# Magnetization = 0.00 μB/f.u.
# Uncorrected formation energy = -0.32 eV/atom
# Total DFT energy (no corrections) = -4.897 eV/atom
data_Nd3Cu3Si
_symmetry_space_group_name_H-M 'C 1 2/m 1'
_symmetry_Int_Tables_number 12
_symmetry_space_group_name_Hall '-C 2y'
_cell_length_a 10.504
_cell_length_b 4.214
_cell_length_c 14.852
_cell_angle_alpha 90.00
_cell_angle_beta 109.55
_cell_angle_gamma 90.00
loop_
_atom_site_label
_atom_site_type_symbol
_atom_site_fract_x
_atom_site_fract_y
_atom_site_fract_z
_atom_site_occupancy
Nd1 Nd 0.040 0.000 0.392 1
Nd2 Nd 0.099 0.000 0.919 1
Nd3 Nd 0.242 0.500 0.763 1
Cu1 Cu 0.052 0.500 0.237 1
Cu2 Cu 0.103 0.500 0.078 1
Cu3 Cu 0.143 0.500 0.540 1
Si1 Si 0.248 0.500 0.393 1

***

# GGA-PBE Nd3Cu7Si4, optimized geometry
# D(E_F) = 5.30 states/eV/f.u.
# Magnetization = 0.00 μB/f.u.
# Uncorrected formation energy = -0.42 eV/atom
# Total DFT energy (no corrections) = -5.038 eV/atom
data_Nd3Cu7Si4
_symmetry_space_group_name_H-M 'C 1 2/m 1'
_symmetry_Int_Tables_number 12
_symmetry_space_group_name_Hall '-C 2y'
_cell_length_a 15.310
_cell_length_b 4.168
_cell_length_c 9.108
_cell_angle_alpha 90.00
_cell_angle_beta 125.87
_cell_angle_gamma 90.00
loop_
_atom_site_label
_atom_site_type_symbol
_atom_site_fract_x
_atom_site_fract_y
_atom_site_fract_z
_atom_site_occupancy
Nd1 Nd 0.000 0.000 0.000 1
Nd2 Nd 0.194 0.500 0.695 1
Cu1 Cu 0.000 0.000 0.500 1
Cu2 Cu 0.003 0.500 0.714 1
Cu3 Cu 0.146 0.000 0.882 1
Cu4 Cu 0.171 0.500 0.320 1
Si1 Si 0.120 0.000 0.404 1
Si2 Si 0.160 0.500 0.030 1

***

# GGA-PBE NdCuSi2, optimized geometry
# D(E_F) = 0.91 states/eV/f.u.
# Magnetization = 0.00 μB/f.u.
# Uncorrected formation energy = -0.28 eV/atom
# Total DFT energy (no corrections) = -5.211 eV/atom
data_NdCuSi2
_symmetry_space_group_name_H-M 'A m m 2'
_symmetry_Int_Tables_number 38
_symmetry_space_group_name_Hall 'A 2 -2'
_cell_length_a 4.060
_cell_length_b 5.836
_cell_length_c 7.077
_cell_angle_alpha 90.00
_cell_angle_beta 90.00
_cell_angle_gamma 90.00
loop_
_atom_site_label
_atom_site_type_symbol
_atom_site_fract_x
_atom_site_fract_y
_atom_site_fract_z
_atom_site_occupancy
Nd1 Nd 0.000 0.000 0.000 1
Cu1 Cu 0.500 0.000 0.411 1
Si1 Si 0.500 0.195 0.707 1

***

# GGA-PBE NdCu2Si, optimized geometry
# D(E_F) = 2.18 states/eV/f.u.
# Magnetization = 0.00 μB/f.u.
# Uncorrected formation energy = -0.35 eV/atom
# Total DFT energy (no corrections) = -4.947 eV/atom
data_NdCu2Si
_symmetry_space_group_name_H-M 'P 4/n m m'
_symmetry_Int_Tables_number 129
_cell_length_a 4.004
_cell_length_b 4.004
_cell_length_c 9.194
_cell_angle_alpha 90.00
_cell_angle_beta 90.00
_cell_angle_gamma 90.00
loop_
_symmetry_equiv_pos_as_xyz
'x,y,z'
'-x,-y,-z'
'-y+1/2,x,z'
'y+1/2,-x,-z'
'-x+1/2,-y+1/2,z'
'x+1/2,y+1/2,-z'
'y,-x+1/2,z'
'-y,x+1/2,-z'
'x+1/2,-y,-z'
'-x+1/2,y,z'
'-y,-x,-z'
'y,x,z'
'-x,y+1/2,-z'
'x,-y+1/2,z'
'y+1/2,x+1/2,-z'
'-y+1/2,-x+1/2,z'
loop_
_atom_site_label
_atom_site_type_symbol
_atom_site_fract_x
_atom_site_fract_y
_atom_site_fract_z
_atom_site_occupancy
Nd1 Nd 0.250 0.250 0.235 1
Cu1 Cu 0.250 0.250 0.915 1
Cu2 Cu 0.250 0.750 0.500 1
Si1 Si 0.250 0.250 0.647 1

***

# GGA-PBE Nd3Cu4Si2, optimized geometry
# D(E_F) = 4.53 states/eV/f.u.
# Magnetization = 0.00 μB/f.u.
# Uncorrected formation energy = -0.45 eV/atom
# Total DFT energy (no corrections) = -5.065 eV/atom
data_Nd3Cu4Si2
_symmetry_space_group_name_H-M 'C 1 2/m 1'
_symmetry_Int_Tables_number 12
_symmetry_space_group_name_Hall '-C 2y'
_cell_length_a 10.775
_cell_length_b 4.212
_cell_length_c 8.398
_cell_angle_alpha 90.00
_cell_angle_beta 106.14
_cell_angle_gamma 90.00
loop_
_atom_site_label
_atom_site_type_symbol
_atom_site_fract_x
_atom_site_fract_y
_atom_site_fract_z
_atom_site_occupancy
Nd1 Nd 0.000 0.000 0.000 1
Nd2 Nd 0.166 0.500 0.665 1
Cu1 Cu 0.057 0.000 0.386 1
Cu2 Cu 0.217 0.500 0.060 1
Si1 Si 0.109 0.500 0.279 1

***

# GGA-PBE Nd2CuSi3, optimized geometry
# D(E_F) = 3.77 states/eV/f.u.
# Magnetization = 0.00 μB/f.u.
# Uncorrected formation energy = -0.71 eV/atom
# Total DFT energy (no corrections) = -5.694 eV/atom
data_Nd2CuSi3
_symmetry_space_group_name_H-M 'P m m 2'
_symmetry_Int_Tables_number 25
_symmetry_space_group_name_Hall 'P 2 -2'
_cell_length_a 4.110
_cell_length_b 4.246
_cell_length_c 6.992
_cell_angle_alpha 90.00
_cell_angle_beta 90.00
_cell_angle_gamma 90.00
loop_
_atom_site_label
_atom_site_type_symbol
_atom_site_fract_x
_atom_site_fract_y
_atom_site_fract_z
_atom_site_occupancy
Nd1 Nd 0.000 0.000 0.000 1
Nd2 Nd 0.500 0.000 0.490 1
Cu1 Cu 0.000 0.500 0.667 1
Si1 Si 0.000 0.500 0.336 1
Si2 Si 0.500 0.500 0.158 1
Si3 Si 0.500 0.500 0.819 1

***

# GGA-PBE NdCuSi, optimized geometry
# D(E_F) = 2.26 states/eV/f.u.
# Magnetization = 0.27 μB/f.u.
# Uncorrected formation energy = -0.59 eV/atom
# Total DFT energy (no corrections) = -5.356 eV/atom
data_NdCuSi
_symmetry_space_group_name_H-M 'P -6 m 2'
_symmetry_Int_Tables_number 187
_symmetry_space_group_name_Hall 'P -6 2'
_cell_length_a 4.1130
_cell_length_b 4.1130
_cell_length_c 4.2084
_cell_angle_alpha 90.00
_cell_angle_beta 90.00
_cell_angle_gamma 120.00
loop_
_atom_site_label
_atom_site_type_symbol
_atom_site_fract_x
_atom_site_fract_y
_atom_site_fract_z
_atom_site_occupancy
Nd1 Nd 0.0000 0.0000 0.0000 1
Cu1 Cu 0.3333 0.6667 0.5000 1
Si1 Si 0.6667 0.3333 0.5000 1

***

# GGA-PBE NdCu6Si2, optimized geometry
# D(E_F) = 4.61 states/eV/f.u.
# Magnetization = 0.00 μB/f.u.
# Uncorrected formation energy = -0.29 eV/atom
# Total DFT energy (no corrections) = -4.756 eV/atom
data_NdCu6Si2
_symmetry_space_group_name_H-M 'P 4/m m m'
_symmetry_Int_Tables_number 123
_symmetry_space_group_name_Hall '-P 4 2'
_cell_length_a 4.113
_cell_length_b 4.113
_cell_length_c 7.768
_cell_angle_alpha 90.00
_cell_angle_beta 90.00
_cell_angle_gamma 90.00
loop_
_atom_site_label
_atom_site_type_symbol
_atom_site_fract_x
_atom_site_fract_y
_atom_site_fract_z
_atom_site_occupancy
Nd1 Nd 0.000 0.000 0.000 1
Cu1 Cu 0.000 0.000 0.500 1
Cu2 Cu 0.000 0.500 0.311 1
Cu3 Cu 0.500 0.500 0.500 1
Si1 Si 0.500 0.500 0.156 1

***

# GGA-PBE NdCuSi2, optimized geometry
# D(E_F) = 0.46 states/eV/f.u.
# Magnetization = 0.00 μB/f.u.
# Uncorrected formation energy = -0.59 eV/atom
# Total DFT energy (no corrections) = -5.514 eV/atom
data_NdCuSi2
_symmetry_space_group_name_H-M 'P n m a'
_symmetry_Int_Tables_number 62
_symmetry_space_group_name_Hall '-P 2ac 2n'
_cell_length_a 13.608
_cell_length_b 4.068
_cell_length_c 10.509
_cell_angle_alpha 90.00
_cell_angle_beta 90.00
_cell_angle_gamma 90.00
loop_
_atom_site_label
_atom_site_type_symbol
_atom_site_fract_x
_atom_site_fract_y
_atom_site_fract_z
_atom_site_occupancy
Nd1 Nd 0.051 0.250 0.248 1
Nd2 Nd 0.201 0.750 0.523 1
Cu1 Cu 0.052 0.250 0.952 1
Cu2 Cu 0.203 0.750 0.816 1
Si1 Si 0.033 0.250 0.539 1
Si2 Si 0.114 0.250 0.739 1
Si3 Si 0.127 0.750 0.028 1
Si4 Si 0.212 0.750 0.230 1

***

# GGA-PBE NdCu5Si2, optimized geometry
# D(E_F) = 3.37 states/eV/f.u.
# Magnetization = 0.00 μB/f.u.
# Uncorrected formation energy = -0.30 eV/atom
# Total DFT energy (no corrections) = -4.807 eV/atom
data_NdCu5Si2
_symmetry_space_group_name_H-M 'I m m m'
_symmetry_Int_Tables_number 71
_symmetry_space_group_name_Hall '-I 2 2'
_cell_length_a 3.934
_cell_length_b 6.727
_cell_length_c 9.227
_cell_angle_alpha 90.00
_cell_angle_beta 90.00
_cell_angle_gamma 90.00
loop_
_atom_site_label
_atom_site_type_symbol
_atom_site_fract_x
_atom_site_fract_y
_atom_site_fract_z
_atom_site_occupancy
Nd1 Nd 0.000 0.000 0.000 1
Cu1 Cu 0.000 0.183 0.353 1
Cu2 Cu 0.000 0.500 0.000 1
Si1 Si 0.000 0.500 0.248 1

***

# GGA-PBE NdCuSi3, optimized geometry
# D(E_F) = 0.64 states/eV/f.u.
# Magnetization = 0.00 μB/f.u.
# Uncorrected formation energy = -0.43 eV/atom
# Total DFT energy (no corrections) = -5.459 eV/atom
data_NdCuSi3
_symmetry_space_group_name_H-M 'C m m m'
_symmetry_Int_Tables_number 65
_symmetry_space_group_name_Hall '-C 2 2'
_cell_length_a 4.091
_cell_length_b 21.234
_cell_length_c 4.123
_cell_angle_alpha 90.00
_cell_angle_beta 90.00
_cell_angle_gamma 90.00
loop_
_atom_site_label
_atom_site_type_symbol
_atom_site_fract_x
_atom_site_fract_y
_atom_site_fract_z
_atom_site_occupancy
Nd1 Nd 0.000 0.167 0.000 1
Cu1 Cu 0.000 0.389 0.500 1
Si1 Si 0.000 0.055 0.500 1
Si2 Si 0.000 0.279 0.500 1
Si3 Si 0.000 0.445 0.000 1

***

# GGA-PBE Nd2CuSi2, optimized geometry
# D(E_F) = 3.00 states/eV/f.u.
# Magnetization = 0.00 μB/f.u.
# Uncorrected formation energy = -0.65 eV/atom
# Total DFT energy (no corrections) = -5.548 eV/atom
data_Nd2CuSi2
_symmetry_space_group_name_H-M 'C 1 2/m 1'
_symmetry_Int_Tables_number 12
_symmetry_space_group_name_Hall '-C 2y'
_cell_length_a 10.939
_cell_length_b 4.215
_cell_length_c 10.714
_cell_angle_alpha 90.00
_cell_angle_beta 117.75
_cell_angle_gamma 90.00
loop_
_atom_site_label
_atom_site_type_symbol
_atom_site_fract_x
_atom_site_fract_y
_atom_site_fract_z
_atom_site_occupancy
Nd1 Nd 0.107 0.000 0.404 1
Nd2 Nd 0.211 0.500 0.149 1
Cu1 Cu 0.061 0.500 0.816 1
Si1 Si 0.036 0.000 0.911 1
Si2 Si 0.110 0.500 0.613 1

***

# GGA-PBE NdCuSi, optimized geometry
# D(E_F) = 0.68 states/eV/f.u.
# Magnetization = 0.00 μB/f.u.
# Uncorrected formation energy = -0.42 eV/atom
# Total DFT energy (no corrections) = -5.186 eV/atom
data_NdCuSi
_symmetry_space_group_name_H-M 'F -4 3 m'
_symmetry_Int_Tables_number 216
_symmetry_space_group_name_Hall 'F -4 2 3'
_cell_length_a 6.334
_cell_length_b 6.334
_cell_length_c 6.334
_cell_angle_alpha 90.00
_cell_angle_beta 90.00
_cell_angle_gamma 90.00
loop_
_atom_site_label
_atom_site_type_symbol
_atom_site_fract_x
_atom_site_fract_y
_atom_site_fract_z
_atom_site_occupancy
Nd1 Nd 0.000 0.000 0.000 1
Cu1 Cu 0.250 0.250 0.250 1
Si1 Si 0.000 0.000 0.500 1

***

# GGA-PBE Nd3Cu2Si4, optimized geometry
# D(E_F) = 3.70 states/eV/f.u.
# Magnetization = 0.00 μB/f.u.
# Uncorrected formation energy = -0.72 eV/atom
# Total DFT energy (no corrections) = -5.628 eV/atom
data_Nd3Cu2Si4
_symmetry_space_group_name_H-M 'C 1 2/m 1'
_symmetry_Int_Tables_number 12
_symmetry_space_group_name_Hall '-C 2y'
_cell_length_a 11.006
_cell_length_b 4.097
_cell_length_c 8.234
_cell_angle_alpha 90.00
_cell_angle_beta 99.27
_cell_angle_gamma 90.00
loop_
_atom_site_label
_atom_site_type_symbol
_atom_site_fract_x
_atom_site_fract_y
_atom_site_fract_z
_atom_site_occupancy
Nd1 Nd 0.000 0.000 0.000 1
Nd2 Nd 0.162 0.500 0.668 1
Cu1 Cu 0.111 0.500 0.281 1
Si1 Si 0.059 0.000 0.388 1
Si2 Si 0.218 0.500 0.060 1

***

# GGA-PBE Nd2Cu6Si3, optimized geometry
# D(E_F) = 4.75 states/eV/f.u.
# Magnetization = 0.00 μB/f.u.
# Uncorrected formation energy = -0.36 eV/atom
# Total DFT energy (no corrections) = -4.938 eV/atom
data_Nd2Cu6Si3
_symmetry_space_group_name_H-M 'P -6 2 m'
_symmetry_Int_Tables_number 189
_symmetry_space_group_name_Hall 'P -6 -2'
_cell_length_a 7.2725
_cell_length_b 7.2725
_cell_length_c 4.0304
_cell_angle_alpha 90.00
_cell_angle_beta 90.00
_cell_angle_gamma 120.00
loop_
_atom_site_label
_atom_site_type_symbol
_atom_site_fract_x
_atom_site_fract_y
_atom_site_fract_z
_atom_site_occupancy
Nd1 Nd 0.3333 0.6667 0.0000 1
Cu1 Cu 0.0000 0.2983 0.5000 1
Cu2 Cu 0.0000 0.8049 0.0000 1
Si1 Si 0.0000 0.6383 0.5000 1

***

# GGA-PBE NdCu3Si3, optimized geometry
# D(E_F) = 3.05 states/eV/f.u.
# Magnetization = 0.00 μB/f.u.
# Uncorrected formation energy = -0.14 eV/atom
# Total DFT energy (no corrections) = -4.900 eV/atom
data_NdCu3Si3
_symmetry_space_group_name_H-M 'R -3'
_symmetry_Int_Tables_number 148
_symmetry_space_group_name_Hall '-R 3'
_cell_length_a 6.0527
_cell_length_b 6.0527
_cell_length_c 22.3946
_cell_angle_alpha 90.00
_cell_angle_beta 90.00
_cell_angle_gamma 120.00
loop_
_atom_site_label
_atom_site_type_symbol
_atom_site_fract_x
_atom_site_fract_y
_atom_site_fract_z
_atom_site_occupancy
Nd1 Nd 0.0000 0.0000 0.1775 1
Cu1 Cu 0.0510 0.7757 0.6986 1
Si1 Si 0.0415 0.7869 0.5848 1